Entry 1:
Computed, not measured: a relaxed structure of BeZnIrAu at the GGA-PBE level of DFT.

Results
As for the calculated density: 13.955 g/cm³. The value obtained for the energy of formation is -0.09 eV per atom. Its crystal system is triclinic. The polymorph energy (0 for the lowest one) comes out at 0.871 eV/f.u. The calculated total energy comes out at -17.50 eV/cell.

Unit cell a=2.917 b=4.298 c=4.835 alpha=106.70 beta=107.35 gamma=90.14
Space group P1 (No. 1)
Inequivalent atoms, fractional coordinates:
Be 0.000 0.000 0.000 [1 per cell]
Zn 0.743 0.349 0.480 [1 per cell]
Ir 0.493 0.497 0.983 [1 per cell]
Au 0.267 0.870 0.529 [1 per cell]

=====

Entry 2:
Computed, not measured: a relaxed structure of BeZnIrAu at the GGA-PBE level of DFT.

Results
As for the calculated density: 14.169 g/cm³. The value obtained for the energy of formation is -0.18 eV per atom. Its crystal system is monoclinic. The polymorph energy (0 for the lowest one) comes out at 0.496 eV/f.u. The calculated total energy comes out at -17.87 eV/cell.

Unit cell a=4.207 b=3.033 c=4.269 alpha=90.00 beta=94.01 gamma=90.00
Space group P2/m (No. 10)
Inequivalent atoms, fractional coordinates:
Be 0.000 0.000 0.000 [1 per cell]
Zn 0.500 0.000 0.500 [1 per cell]
Ir 0.500 0.500 0.000 [1 per cell]
Au 0.000 0.500 0.500 [1 per cell]

=====

Entry 3:
Computed, not measured: a relaxed structure of BeZnIrAu at the GGA-PBE level of DFT.

Results
As for the calculated density: 14.055 g/cm³. The value obtained for the energy of formation is -0.31 eV per atom. Its crystal system is tetragonal. The polymorph energy (0 for the lowest one) comes out at 0.000 eV/f.u. The calculated total energy comes out at -18.37 eV/cell.

Unit cell a=2.907 b=2.907 c=6.481 alpha=90.00 beta=90.00 gamma=90.00
Space group P4mm (No. 99)
Inequivalent atoms, fractional coordinates:
Be 0.000 0.000 0.000 [1 per cell]
Zn 0.000 0.000 0.433 [1 per cell]
Ir 0.500 0.500 0.172 [1 per cell]
Au 0.500 0.500 0.729 [1 per cell]

=====

Entry 4:
Computed, not measured: a relaxed structure of BeZnIrAu at the GGA-PBE level of DFT.

Results
As for the calculated density: 14.193 g/cm³. The value obtained for the energy of formation is -0.13 eV per atom. Its crystal system is cubic. The polymorph energy (0 for the lowest one) comes out at 0.721 eV/f.u. The calculated total energy comes out at -70.58 eV/cell.

Unit cell a=6.009 b=6.009 c=6.009 alpha=90.00 beta=90.00 gamma=90.00
Space group F-43m (No. 216)
Inequivalent atoms, fractional coordinates:
Be 0.000 0.000 0.000 [4 per cell]
Zn 0.000 0.000 0.500 [4 per cell]
Ir 0.250 0.250 0.250 [4 per cell]
Au 0.250 0.250 0.750 [4 per cell]

=====

Entry 5:
Computed, not measured: a relaxed structure of BeZnIrAu at the GGA-PBE level of DFT.

Results
As for the calculated density: 13.784 g/cm³. The value obtained for the energy of formation is -0.19 eV per atom. Its crystal system is monoclinic. The polymorph energy (0 for the lowest one) comes out at 0.467 eV/f.u. The calculated total energy comes out at -35.80 eV/cell.

Unit cell a=4.930 b=2.859 c=8.083 alpha=90.00 beta=101.34 gamma=90.00
Space group Cm (No. 8)
Inequivalent atoms, fractional coordinates:
Be 0.000 0.000 0.000 [2 per cell]
Zn 0.346 0.500 0.526 [2 per cell]
Ir 0.268 0.000 0.794 [2 per cell]
Au 0.410 0.000 0.234 [2 per cell]

=====

Entry 6:
Computed, not measured: a relaxed structure of K2BeAu at the GGA-PBE level of DFT.

Results
As for the calculated density: 3.907 g/cm³. The value obtained for the energy of formation is 0.14 eV per atom. Its crystal system is tetragonal. The calculated total energy comes out at -8.66 eV/cell.

Unit cell a=3.460 b=3.460 c=10.087 alpha=90.00 beta=90.00 gamma=90.00
Space group P4mm (No. 99)
Inequivalent atoms, fractional coordinates:
K 0.000 0.000 0.000 [1 per cell]
K 0.500 0.500 0.410 [1 per cell]
Be 0.500 0.500 0.713 [1 per cell]
Au 0.000 0.000 0.684 [1 per cell]

=====

Entry 7:
Computed, not measured: a relaxed structure of K2BeAu at the GGA-PBE level of DFT.

Results
As for the calculated density: 3.658 g/cm³. The value obtained for the energy of formation is 0.44 eV per atom. Its crystal system is monoclinic. The calculated total energy comes out at -7.42 eV/cell.

Unit cell a=3.919 b=4.156 c=7.919 alpha=90.00 beta=90.08 gamma=90.00
Space group P2/m (No. 10)
Inequivalent atoms, fractional coordinates:
K 0.000 0.000 0.240 [2 per cell]
Be 0.500 0.500 0.500 [1 per cell]
Au 0.500 0.500 0.000 [1 per cell]

=====

Entry 8:
Computed, not measured: a relaxed structure of KBe2Au at the GGA-PBE level of DFT.

Results
As for the calculated density: 6.122 g/cm³. The value obtained for the energy of formation is 0.97 eV per atom. Its crystal system is orthorhombic. The polymorph energy (0 for the lowest one) comes out at 4.124 eV/f.u. The calculated total energy comes out at -15.92 eV/cell.

Unit cell a=7.050 b=7.076 c=2.763 alpha=90.00 beta=90.00 gamma=90.00
Space group Cmmm (No. 65)
Inequivalent atoms, fractional coordinates:
K 0.000 0.000 0.000 [2 per cell]
Be 0.250 0.250 0.500 [4 per cell]
Au 0.000 0.500 0.000 [2 per cell]

=====

Entry 9:
Computed, not measured: a relaxed structure of KBe4Au at the GGA-PBE level of DFT.

Results
As for the calculated density: 5.639 g/cm³. The value obtained for the energy of formation is 0.48 eV per atom. Its crystal system is cubic. The calculated total energy comes out at -65.71 eV/cell.

Unit cell a=6.843 b=6.843 c=6.843 alpha=90.00 beta=90.00 gamma=90.00
Space group F-43m (No. 216)
Inequivalent atoms, fractional coordinates:
K 0.000 0.000 0.000 [4 per cell]
Be 0.119 0.119 0.381 [16 per cell]
Au 0.250 0.250 0.750 [4 per cell]

=====

Entry 10:
Computed, not measured: a relaxed structure of KBe2Au at the GGA-PBE level of DFT.

Results
As for the calculated density: 5.367 g/cm³. The value obtained for the energy of formation is 0.41 eV per atom. Its crystal system is monoclinic. The polymorph energy (0 for the lowest one) comes out at 1.905 eV/f.u. The calculated total energy comes out at -10.18 eV/cell.

Unit cell a=2.738 b=4.235 c=6.828 alpha=90.00 beta=96.90 gamma=90.00
Space group P2/m (No. 10)
Inequivalent atoms, fractional coordinates:
K 0.000 0.000 0.000 [1 per cell]
Be 0.276 0.500 0.630 [2 per cell]
Au 0.500 0.000 0.500 [1 per cell]

=====

Entry 11:
Computed, not measured: a relaxed structure of KBeAu4 at the GGA-PBE level of DFT.

Results
As for the calculated density: 11.093 g/cm³. The value obtained for the energy of formation is -0.15 eV per atom. Its crystal system is monoclinic. The polymorph energy (0 for the lowest one) comes out at 0.395 eV/f.u. The calculated total energy comes out at -75.43 eV/cell.

Unit cell a=13.750 b=5.897 c=6.196 alpha=90.00 beta=94.89 gamma=90.00
Space group C2/m (No. 12)
Inequivalent atoms, fractional coordinates:
K 0.205 0.000 0.125 [4 per cell]
Be 0.035 0.500 0.321 [4 per cell]
Au 0.000 0.257 0.000 [4 per cell]
Au 0.097 0.236 0.614 [8 per cell]
Au 0.222 0.500 0.372 [4 per cell]

=====

Entry 12:
Computed, not measured: a relaxed structure of KBe2Au at the GGA-PBE level of DFT.

Results
As for the calculated density: 5.631 g/cm³. The value obtained for the energy of formation is 0.52 eV per atom. Its crystal system is orthorhombic. The polymorph energy (0 for the lowest one) comes out at 2.355 eV/f.u. The calculated total energy comes out at -19.45 eV/cell.

Unit cell a=2.795 b=5.511 c=9.730 alpha=90.00 beta=90.00 gamma=90.00
Space group Imm2 (No. 44)
Inequivalent atoms, fractional coordinates:
K 0.000 0.000 0.000 [2 per cell]
Be 0.000 0.000 0.509 [2 per cell]
Be 0.000 0.500 0.182 [2 per cell]
Au 0.000 0.500 0.816 [2 per cell]